1.
Compound: Na5AgGe2S7
Source: OQMD via LeMat-Bulk
Functional: PBE
Structure: relaxed

a = 6.903 Å, b = 6.903 Å, c = 14.906 Å
α = 99.12°, β = 99.12°, γ = 96.63°
Fractional positions:
Na1 0.000 0.000 0.000
Na2 0.000 0.000 0.500
Na3 0.017 0.463 0.360
Na4 0.236 0.524 0.919
Na5 0.463 0.017 0.860
Na6 0.476 0.764 0.581
Na7 0.524 0.236 0.419
Na8 0.537 0.983 0.140
Na9 0.764 0.476 0.081
Na10 0.983 0.537 0.640
Ag1 0.085 0.915 0.250
Ag2 0.915 0.085 0.750
Ge1 0.263 0.419 0.140
Ge2 0.419 0.263 0.640
Ge3 0.581 0.737 0.360
Ge4 0.737 0.581 0.860
S1 0.015 0.243 0.184
S2 0.176 0.703 0.108
S3 0.238 0.371 0.526
S4 0.243 0.015 0.684
S5 0.297 0.824 0.392
S6 0.371 0.238 0.026
S7 0.456 0.544 0.750
S8 0.544 0.456 0.250
S9 0.629 0.762 0.974
S10 0.703 0.176 0.608
S11 0.757 0.985 0.316
S12 0.762 0.629 0.474
S13 0.824 0.297 0.892
S14 0.985 0.757 0.816

Computed properties:
* final energy: -3.986 eV/atom
* space-group type: C2/c, No. 15

***

2.
Compound: NaAgGeSe2S
Source: OQMD via LeMat-Bulk
Functional: PBE
Structure: relaxed

a = 6.499 Å, b = 6.499 Å, c = 10.534 Å
α = 90.00°, β = 90.00°, γ = 145.37°
Fractional positions:
Na1 0.213 0.787 0.750
Na2 0.787 0.213 0.250
Ag1 0.090 0.910 0.250
Ag2 0.910 0.090 0.750
Ge1 0.500 0.500 0.000
Ge2 0.500 0.500 0.500
Se1 0.151 0.849 0.019
Se2 0.151 0.849 0.481
Se3 0.849 0.151 0.519
Se4 0.849 0.151 0.981
S1 0.456 0.544 0.250
S2 0.544 0.456 0.750

Computed properties:
* final energy: -3.591 eV/atom
* space-group type: Cmcm, No. 63

***

3.
Compound: NaAg3GeSe4
Source: OQMD via LeMat-Bulk
Functional: PBE
Structure: relaxed

a = 6.530 Å, b = 6.530 Å, c = 6.530 Å
α = 90.00°, β = 90.00°, γ = 90.00°
Fractional positions:
Na1 0.000 0.000 0.000
Ag1 0.000 0.500 0.500
Ag2 0.500 0.000 0.500
Ag3 0.500 0.500 0.000
Ge1 0.500 0.500 0.500
Se1 0.286 0.286 0.286
Se2 0.286 0.714 0.714
Se3 0.714 0.286 0.714
Se4 0.714 0.714 0.286

Computed properties:
* final energy: -3.385 eV/atom
* space-group type: P-43m, No. 215

***

4.
Compound: NaAgGeTe2Se
Source: OQMD via LeMat-Bulk
Functional: PBE
Structure: relaxed

a = 6.707 Å, b = 6.707 Å, c = 11.413 Å
α = 90.00°, β = 90.00°, γ = 143.05°
Fractional positions:
Na1 0.219 0.781 0.750
Na2 0.781 0.219 0.250
Ag1 0.078 0.922 0.250
Ag2 0.922 0.078 0.750
Ge1 0.500 0.500 0.000
Ge2 0.500 0.500 0.500
Te1 0.157 0.843 0.024
Te2 0.157 0.843 0.476
Te3 0.843 0.157 0.524
Te4 0.843 0.157 0.976
Se1 0.452 0.548 0.250
Se2 0.548 0.452 0.750

Computed properties:
* final energy: -3.337 eV/atom
* space-group type: Cmcm, No. 63

***

5.
Compound: Na4SiAg2Ge
Source: OQMD via LeMat-Bulk
Functional: PBE
Structure: relaxed

a = 4.848 Å, b = 4.848 Å, c = 6.850 Å
α = 90.00°, β = 90.00°, γ = 90.00°
Fractional positions:
Na1 0.000 0.000 0.000
Na2 0.000 0.500 0.248
Na3 0.500 0.000 0.752
Na4 0.500 0.500 0.500
Si1 0.500 0.500 0.000
Ag1 0.000 0.500 0.759
Ag2 0.500 0.000 0.241
Ge1 0.000 0.000 0.500

Computed properties:
* final energy: -2.589 eV/atom
* space-group type: P-4m2, No. 115

***

6.
Compound: NaAg3GeTe4
Source: OQMD via LeMat-Bulk
Functional: PBE
Structure: relaxed

a = 6.779 Å, b = 6.779 Å, c = 6.779 Å
α = 90.00°, β = 90.00°, γ = 90.00°
Fractional positions:
Na1 0.000 0.000 0.000
Ag1 0.000 0.500 0.500
Ag2 0.500 0.000 0.500
Ag3 0.500 0.500 0.000
Ge1 0.500 0.500 0.500
Te1 0.272 0.272 0.272
Te2 0.272 0.728 0.728
Te3 0.728 0.272 0.728
Te4 0.728 0.728 0.272

Computed properties:
* final energy: -3.094 eV/atom
* space-group type: P-43m, No. 215

***

7.
Compound: NbAgGe2
Source: OQMD via LeMat-Bulk
Functional: PBE
Structure: relaxed

a = 3.799 Å, b = 3.799 Å, c = 9.508 Å
α = 90.00°, β = 90.00°, γ = 90.00°
Fractional positions:
Nb1 0.250 0.250 0.214
Nb2 0.750 0.750 0.786
Ag1 0.250 0.750 0.500
Ag2 0.750 0.250 0.500
Ge1 0.250 0.250 0.712
Ge2 0.250 0.750 0.000
Ge3 0.750 0.250 0.000
Ge4 0.750 0.750 0.288

Computed properties:
* excess energy over the best structure of this formula in the dataset: 0 meV/atom
* space-group type: P4/nmm, No. 129

***

8.
Compound: NbAgGe
Source: OQMD via LeMat-Bulk
Functional: PBE
Structure: relaxed

a = 4.449 Å, b = 4.449 Å, c = 4.449 Å
α = 60.00°, β = 60.00°, γ = 60.00°
Fractional positions:
Nb1 0.000 0.000 0.000
Ag1 0.250 0.250 0.250
Ge1 0.750 0.750 0.750

Computed properties:
* final energy: -5.377 eV/atom
* space-group type: F-43m, No. 216

***

The evaluated density for the records listed, in turn: 2.872; 5.169; 4.385; 5.785; 4.212; 4.955; 8.376; 7.292 Mg/m³.